YMg2Cr: relaxed, PBE.

Cell lengths 5.521, 5.521, 3.285 Å; angles 90.00, 90.00, 109.95 degrees
Fractional positions:
Y (0.000, 0.000, 0.000)
Mg (0.000, 0.500, 0.500)
Mg (0.500, 0.000, 0.500)
Cr (0.500, 0.500, 0.000)

Output
The formation energy is 338 meV per atom. The calculation puts the total energy at -4.48 eV per atom. Its space group is Cmmm.